# 1
BeSiB: optimized geometry, PBE.

Lattice parameters (Å, degrees): 6.978 6.978 6.978 27.51 27.51 27.51
Sites, in units of the cell vectors:
Be (0.000, 0.000, 0.000)
Be (0.399, 0.399, 0.399)
Si (0.599, 0.599, 0.599)
Si (0.807, 0.807, 0.807)
B (0.097, 0.097, 0.097)
B (0.906, 0.906, 0.906)

symmetry	R3m (160)



# 2
BeSiB: optimized geometry, PBE.

Lattice parameters (Å, degrees): 3.715 3.715 5.841 81.41 89.72 60.35
Sites, in units of the cell vectors:
Be (0.240, 0.023, 0.427)
Be (0.760, 0.977, 0.573)
Si (0.321, 0.363, 0.917)
Si (0.679, 0.637, 0.083)
B (0.259, 0.482, 0.558)
B (0.741, 0.518, 0.442)

symmetry	P-1 (2)



# 3
BeSiB: optimized geometry, PBE.

Lattice parameters (Å, degrees): 6.912 6.912 6.912 27.91 27.91 27.91
Sites, in units of the cell vectors:
Be (0.000, 0.000, 0.000)
Be (0.393, 0.393, 0.393)
Si (0.125, 0.125, 0.125)
Si (0.588, 0.588, 0.588)
B (0.298, 0.298, 0.298)
B (0.487, 0.487, 0.487)

symmetry	R3m (160)



# 4
BeSiB: optimized geometry, PBE.

Lattice parameters (Å, degrees): 5.826 3.340 6.995 90.00 105.50 90.00
Sites, in units of the cell vectors:
Be (0.000, 0.000, 0.000)
Be (0.113, 0.500, 0.841)
Be (0.500, 0.500, 0.000)
Be (0.613, 0.000, 0.841)
Si (0.205, 0.000, 0.604)
Si (0.278, 0.500, 0.293)
Si (0.705, 0.500, 0.604)
Si (0.778, 0.000, 0.293)
B (0.114, 0.000, 0.307)
B (0.299, 0.000, 0.897)
B (0.614, 0.500, 0.307)
B (0.799, 0.500, 0.897)

symmetry	Cm (8)



Number 1: formation energy without anion corrections 0.09 eV/atom, theoretical density 2.49 Mg/m³, density of states at the Fermi level 0.55 states/eV/f.u.. Number 2: formation energy without anion corrections 0.12 eV/atom, theoretical density 2.30 Mg/m³, density of states at the Fermi level 0.21 states/eV/f.u.. Number 3: formation energy without anion corrections 0.03 eV/atom, theoretical density 2.49 Mg/m³, density of states at the Fermi level 0.22 states/eV/f.u.. Number 4: formation energy without anion corrections 0.21 eV/atom, theoretical density 2.43 Mg/m³, density of states at the Fermi level 0.61 states/eV/f.u..